(1)
Density functional theory data (PBE+U) for a relaxed structure of RbVO2.

Results
DOS at the Fermi energy ... 0.0473 states/eV per atom
E_tot ... -50.76 eV/cell
Crystal system ... monoclinic

Cell: 5.772 5.772 7.756 Å, 122.42 122.42 62.93°
Sites, in units of the cell vectors:
1 Rb 0.155 0.155 0.312
2 Rb 0.845 0.845 0.688
3 V 0.379 0.332 0.000
4 V 0.668 0.621 0.000
5 O 0.031 0.380 0.999
6 O 0.377 0.403 0.778
7 O 0.597 0.623 0.222
8 O 0.620 0.969 0.001

***

(2)
Density functional theory data (PBE+U) for a relaxed structure of Rb2VO.

Results
DOS at the Fermi energy ... 0.8445 states/eV per atom
E_tot ... -32.25 eV/cell
Crystal system ... tetragonal

Cell: 9.347 9.347 9.347 Å, 92.39 92.39 156.45°
Sites, in units of the cell vectors:
1 Rb 0.375 0.182 0.307
2 Rb 0.818 0.125 0.193
3 Rb 0.875 0.068 0.693
4 Rb 0.932 0.625 0.807
5 V 0.250 0.750 0.500
6 V 0.500 0.500 0.000
7 O 0.000 0.000 0.000
8 O 0.750 0.250 0.500

***

(3)
Density functional theory data (PBE+U) for a relaxed structure of RbV3O.

Results
DOS at the Fermi energy ... 0.6984 states/eV per atom
E above lowest polymorph ... 2009.7 meV per atom
Crystal system ... cubic

Cell: 5.742 5.742 5.742 Å, 90.00 90.00 90.00°
Sites, in units of the cell vectors:
1 Rb 0.000 0.000 0.000
2 V 0.000 0.000 0.500
3 V 0.000 0.500 0.000
4 V 0.500 0.000 0.000
5 O 0.500 0.500 0.500

***

(4)
Density functional theory data (PBE+U) for a relaxed structure of RbVO3.

Results
DOS at the Fermi energy ... 0.0877 states/eV per atom
E_tot ... -31.48 eV/cell
Crystal system ... cubic

Cell: 3.916 3.916 3.916 Å, 90.00 90.00 90.00°
Sites, in units of the cell vectors:
1 Rb 0.000 0.000 0.000
2 V 0.500 0.500 0.500
3 O 0.000 0.500 0.500
4 O 0.500 0.000 0.500
5 O 0.500 0.500 0.000

***

(5)
Density functional theory data (PBE+U) for a relaxed structure of RbVO3.

Results
DOS at the Fermi energy ... 0.0000 states/eV per atom
E_tot ... -133.15 eV/cell
Crystal system ... monoclinic

Cell: 5.247 7.269 10.663 Å, 90.00 90.41 90.00°
Sites, in units of the cell vectors:
1 Rb 0.250 0.121 0.164
2 Rb 0.250 0.379 0.664
3 Rb 0.750 0.621 0.336
4 Rb 0.750 0.879 0.836
5 V 0.250 0.580 0.997
6 V 0.250 0.920 0.497
7 V 0.750 0.080 0.503
8 V 0.750 0.420 0.003
9 O 0.004 0.010 0.614
10 O 0.004 0.490 0.114
11 O 0.250 0.691 0.501
12 O 0.250 0.809 0.001
13 O 0.498 0.011 0.614
14 O 0.498 0.489 0.114
15 O 0.502 0.511 0.886
16 O 0.502 0.989 0.386
17 O 0.750 0.191 0.999
18 O 0.750 0.309 0.499
19 O 0.996 0.510 0.886
20 O 0.996 0.990 0.386

***

(6)
Density functional theory data (PBE+U) for a relaxed structure of RbVO2.

Results
E_tot ... -24.44 eV/cell
Crystal system ... trigonal

Cell: 3.437 3.437 6.656 Å, 90.00 90.00 120.00°
Sites, in units of the cell vectors:
1 Rb 0.000 0.000 0.000
2 V 0.333 0.667 0.478
3 O 0.333 0.667 0.740
4 O 0.667 0.333 0.367

***

(7)
Density functional theory data (PBE+U) for a relaxed structure of Rb5VO4.

Results
DOS at the Fermi energy ... 0.1871 states/eV per atom
E_tot ... -91.82 eV/cell
Crystal system ... orthorhombic

Cell: 8.168 11.097 6.505 Å, 90.00 90.00 90.00°
Sites, in units of the cell vectors:
1 Rb 0.011 0.081 0.236
2 Rb 0.011 0.419 0.236
3 Rb 0.250 0.750 0.298
4 Rb 0.489 0.081 0.236
5 Rb 0.489 0.419 0.236
6 Rb 0.511 0.581 0.764
7 Rb 0.511 0.919 0.764
8 Rb 0.750 0.250 0.702
9 Rb 0.989 0.581 0.764
10 Rb 0.989 0.919 0.764
11 V 0.250 0.250 0.730
12 V 0.750 0.750 0.270
13 O 0.076 0.250 0.569
14 O 0.250 0.120 0.886
15 O 0.250 0.380 0.886
16 O 0.424 0.250 0.569
17 O 0.576 0.750 0.431
18 O 0.750 0.620 0.114
19 O 0.750 0.880 0.114
20 O 0.924 0.750 0.431

***

(8)
Density functional theory data (PBE+U) for a relaxed structure of RbVO2.

Results
DOS at the Fermi energy ... 0.0045 states/eV per atom
E_tot ... -50.32 eV/cell
Crystal system ... triclinic

Cell: 5.568 6.691 6.694 Å, 118.42 98.61 97.66°
Sites, in units of the cell vectors:
1 Rb 0.000 0.000 0.000
2 Rb 0.494 0.615 0.388
3 V 0.494 0.299 0.698
4 V 0.993 0.311 0.685
5 O 0.221 0.286 0.480
6 O 0.289 0.320 0.904
7 O 0.723 0.092 0.669
8 O 0.786 0.518 0.711

***

(9)
Density functional theory data (PBE+U) for a relaxed structure of Rb2VO4.

Results
E above lowest polymorph ... 0.0 meV per atom
Crystal system ... monoclinic

Cell: 6.073 6.399 7.804 Å, 90.00 110.62 90.00°
Sites, in units of the cell vectors:
1 Rb 0.189 0.250 0.110
2 Rb 0.200 0.750 0.533
3 Rb 0.800 0.250 0.467
4 Rb 0.811 0.750 0.890
5 V 0.461 0.250 0.766
6 V 0.539 0.750 0.234
7 O 0.242 0.750 0.189
8 O 0.313 0.250 0.532
9 O 0.367 0.020 0.848
10 O 0.367 0.480 0.848
11 O 0.633 0.520 0.152
12 O 0.633 0.980 0.152
13 O 0.687 0.750 0.468
14 O 0.758 0.250 0.811

***

(10)
Density functional theory data (PBE+U) for a relaxed structure of Rb4VO5.

Results
E_tot ... -51.72 eV/cell
Crystal system ... tetragonal

Cell: 6.649 6.649 6.649 Å, 101.24 101.24 127.59°
Sites, in units of the cell vectors:
1 Rb 0.101 0.292 0.394
2 Rb 0.292 0.899 0.191
3 Rb 0.708 0.101 0.809
4 Rb 0.899 0.708 0.606
5 V 0.553 0.553 0.000
6 O 0.270 0.540 0.858
7 O 0.411 0.270 0.730
8 O 0.540 0.681 0.270
9 O 0.681 0.411 0.142
10 O 0.849 0.849 0.000

***

(11)
Density functional theory data (PBE+U) for a relaxed structure of RbVO2.

Results
E_tot ... -50.93 eV/cell
Crystal system ... tetragonal

Cell: 5.853 5.853 5.853 Å, 118.39 118.39 92.82°
Sites, in units of the cell vectors:
1 Rb 0.000 0.000 0.000
2 Rb 0.750 0.250 0.500
3 V 0.250 0.750 0.500
4 V 0.500 0.500 0.000
5 O 0.259 0.625 0.134
6 O 0.375 0.509 0.634
7 O 0.491 0.125 0.866
8 O 0.875 0.741 0.366

***

(12)
Density functional theory data (PBE+U) for a relaxed structure of RbV2O6.

Results
E_tot ... -60.93 eV/cell
Crystal system ... monoclinic

Cell: 5.285 5.285 7.979 Å, 105.24 105.24 41.30°
Sites, in units of the cell vectors:
1 Rb 0.000 0.000 0.000
2 V 0.185 0.185 0.614
3 V 0.815 0.815 0.386
4 O 0.015 0.015 0.641
5 O 0.282 0.282 0.820
6 O 0.301 0.301 0.444
7 O 0.699 0.699 0.556
8 O 0.718 0.718 0.180
9 O 0.985 0.985 0.359

***

(13)
Density functional theory data (PBE+U) for a relaxed structure of Rb4V2O9.

Results
E_tot ... -84.59 eV/cell
Crystal system ... triclinic

Cell: 6.868 7.247 7.862 Å, 63.24 68.47 89.57°
Sites, in units of the cell vectors:
1 Rb 0.152 0.289 0.180
2 Rb 0.287 0.204 0.666
3 Rb 0.713 0.796 0.334
4 Rb 0.848 0.711 0.820
5 V 0.283 0.770 0.176
6 V 0.717 0.230 0.824
7 O 0.105 0.805 0.384
8 O 0.135 0.745 0.053
9 O 0.296 0.891 0.499
10 O 0.396 0.555 0.258
11 O 0.500 0.000 0.000
12 O 0.604 0.445 0.742
13 O 0.704 0.109 0.501
14 O 0.865 0.255 0.947
15 O 0.895 0.195 0.616

***

(14)
Density functional theory data (PBE+U) for a relaxed structure of RbVO2.

Results
E_tot ... -100.04 eV/cell
Crystal system ... orthorhombic

Cell: 6.787 3.100 14.091 Å, 90.00 90.00 90.00°
Sites, in units of the cell vectors:
1 Rb 0.134 0.250 0.167
2 Rb 0.366 0.750 0.667
3 Rb 0.634 0.250 0.333
4 Rb 0.866 0.750 0.833
5 V 0.134 0.750 0.435
6 V 0.366 0.250 0.935
7 V 0.634 0.750 0.065
8 V 0.866 0.250 0.565
9 O 0.148 0.250 0.539
10 O 0.224 0.250 0.357
11 O 0.276 0.750 0.857
12 O 0.352 0.750 0.039
13 O 0.648 0.250 0.961
14 O 0.724 0.250 0.143
15 O 0.776 0.750 0.643
16 O 0.852 0.750 0.461

***

(15)
Density functional theory data (PBE+U) for a relaxed structure of RbVO2.

Results
E_tot ... -101.82 eV/cell
Crystal system ... orthorhombic

Cell: 6.014 8.350 5.943 Å, 90.00 90.00 90.00°
Sites, in units of the cell vectors:
1 Rb 0.051 0.122 0.000
2 Rb 0.449 0.622 0.500
3 Rb 0.551 0.378 0.000
4 Rb 0.949 0.878 0.500
5 V 0.045 0.626 0.983
6 V 0.455 0.126 0.483
7 V 0.545 0.874 0.983
8 V 0.955 0.374 0.483
9 O 0.009 0.558 0.672
10 O 0.151 0.194 0.531
11 O 0.349 0.694 0.031
12 O 0.491 0.058 0.172
13 O 0.509 0.942 0.672
14 O 0.651 0.306 0.531
15 O 0.849 0.806 0.031
16 O 0.991 0.442 0.172

***

(16)
Density functional theory data (PBE+U) for a relaxed structure of RbVO3.

Results
DOS at the Fermi energy ... 0.0000 states/eV per atom
E_tot ... -132.99 eV/cell
Crystal system ... orthorhombic

Cell: 5.484 11.622 5.819 Å, 90.00 90.00 90.00°
Sites, in units of the cell vectors:
1 Rb 0.064 0.103 0.250
2 Rb 0.064 0.397 0.750
3 Rb 0.936 0.603 0.250
4 Rb 0.936 0.897 0.750
5 V 0.474 0.666 0.750
6 V 0.474 0.834 0.250
7 V 0.526 0.166 0.750
8 V 0.526 0.334 0.250
9 O 0.170 0.648 0.750
10 O 0.170 0.852 0.250
11 O 0.384 0.039 0.750
12 O 0.384 0.461 0.250
13 O 0.428 0.250 0.000
14 O 0.428 0.250 0.500
15 O 0.572 0.750 0.000
16 O 0.572 0.750 0.500
17 O 0.616 0.539 0.750
18 O 0.616 0.961 0.250
19 O 0.830 0.148 0.750
20 O 0.830 0.352 0.250

***

(17)
Density functional theory data (PBE+U) for a relaxed structure of RbV2WO8.

Results
DOS at the Fermi energy ... 0.2037 states/eV per atom
E_tot ... -86.30 eV/cell
Crystal system ... trigonal

Cell: 5.659 5.659 7.950 Å, 90.00 90.00 120.00°
Sites, in units of the cell vectors:
1 Rb 0.000 0.000 0.000
2 V 0.333 0.667 0.721
3 V 0.667 0.333 0.279
4 W 0.000 0.000 0.500
5 O 0.162 0.323 0.646
6 O 0.162 0.838 0.646
7 O 0.323 0.162 0.354
8 O 0.333 0.667 0.928
9 O 0.667 0.333 0.072
10 O 0.677 0.838 0.646
11 O 0.838 0.162 0.354
12 O 0.838 0.677 0.354

***

(18)
Density functional theory data (PBE+U) for a relaxed structure of RbYV2O8.

Results
DOS at the Fermi energy ... 0.9135 states/eV per atom
E_tot ... -85.58 eV/cell
Crystal system ... trigonal

Cell: 5.941 5.941 8.052 Å, 90.00 90.00 120.00°
Sites, in units of the cell vectors:
1 Rb 0.000 0.000 0.000
2 Y 0.000 0.000 0.500
3 V 0.333 0.667 0.742
4 V 0.667 0.333 0.258
5 O 0.172 0.345 0.672
6 O 0.174 0.828 0.672
7 O 0.333 0.667 0.955
8 O 0.345 0.174 0.328
9 O 0.655 0.826 0.672
10 O 0.667 0.333 0.045
11 O 0.826 0.172 0.328
12 O 0.828 0.655 0.328

***

(19)
Density functional theory data (PBE+U) for a relaxed structure of Rb2YV2O6.

Results
E_tot ... -76.78 eV/cell
Crystal system ... trigonal

Cell: 7.101 7.101 7.101 Å, 51.58 51.58 51.58°
Sites, in units of the cell vectors:
1 Rb 0.213 0.213 0.213
2 Rb 0.787 0.787 0.787
3 Y 0.000 0.000 0.000
4 V 0.419 0.419 0.419
5 V 0.581 0.581 0.581
6 O 0.245 0.245 0.736
7 O 0.245 0.736 0.245
8 O 0.264 0.755 0.755
9 O 0.736 0.245 0.245
10 O 0.755 0.264 0.755
11 O 0.755 0.755 0.264

***

(20)
Density functional theory data (PBE+U) for a relaxed structure of Rb2VZnO4.

Results
E_tot ... -87.90 eV/cell
Crystal system ... orthorhombic

Cell: 6.182 6.765 6.822 Å, 90.00 90.00 90.00°
Sites, in units of the cell vectors:
1 Rb 0.250 0.003 0.217
2 Rb 0.250 0.497 0.217
3 Rb 0.750 0.503 0.783
4 Rb 0.750 0.997 0.783
5 V 0.250 0.250 0.663
6 V 0.750 0.750 0.337
7 Zn 0.250 0.750 0.660
8 Zn 0.750 0.250 0.340
9 O 0.004 0.250 0.521
10 O 0.250 0.012 0.801
11 O 0.250 0.488 0.801
12 O 0.496 0.250 0.521
13 O 0.504 0.750 0.479
14 O 0.750 0.512 0.199
15 O 0.750 0.988 0.199
16 O 0.996 0.750 0.479